1.
Material: PrTmO3
Method: DFT, PBE
State: relaxed

raw formation energy	-3097	meV per atom
Fermi-level density of states	0.0000	states/eV per atom

Cell lengths 5.8711, 12.7644, 4.1088 Å; angles 90.00, 90.00, 90.00 degrees
With the nearest neighbours (Å) after each atom.
Space group Cmmm (No. 65)
Inequivalent atoms, fractional coordinates:
Pr1 0.0000 0.1586 0.0000 [4 per cell]  1 O 2.26
Tm1 0.0000 0.3803 0.5000 [4 per cell]  6 O 2.13-2.22
O1 0.0000 0.3359 0.0000 [4 per cell]  2 Tm 2.13, 1 Pr 2.26
O2 0.2323 0.0000 0.5000 [4 per cell]  2 Tm 2.19
O3 0.2500 0.2500 0.5000 [4 per cell]  2 Tm 2.22

2.
Material: Al2SiOs2
Method: DFT, PBE
State: relaxed

raw formation energy	-238	meV per atom
Fermi-level density of states	0.4303	states/eV per atom

Cell lengths 6.2146, 6.2146, 3.9275 Å; angles 90.00, 90.00, 90.00 degrees
With the nearest neighbours (Å) after each atom.
Space group P4/mbm (No. 127)
Inequivalent atoms, fractional coordinates:
Al1 0.1565 0.3435 0.0000 [4 per cell]  6 Os 2.59-2.74, 1 Al 2.75
Si1 0.0000 0.0000 0.5000 [2 per cell]  4 Os 2.36
Os1 0.1514 0.6514 0.5000 [4 per cell]  2 Si 2.36, 2 Al 2.59

3.
Material: AgBrF2
Method: DFT, PBE
State: relaxed

raw formation energy	-347	meV per atom
ΔE to the lowest computed polymorph	455	meV/atom
Fermi-level density of states	0.8166	states/eV per atom

Cell lengths 3.1299, 3.1299, 25.0053 Å; angles 90.00, 90.00, 120.00 degrees
With the nearest neighbours (Å) after each atom.
Space group R-3m (No. 166, hexagonal axes)
Inequivalent atoms, fractional coordinates:
Ag1 0.0000 0.0000 0.0000 [3 per cell]  2 F 2.00
Br1 0.0000 0.0000 0.5000 [3 per cell]  6 F 2.82, 6 Br 3.13
F1 0.0000 0.0000 0.0801 [6 per cell]  1 Ag 2.00

4.
Material: LiZn2InH
Method: DFT, PBE
State: relaxed

Fermi-level density of states	0.1688	states/eV per atom
DFT total energy	-2.07	eV/atom

Cell lengths 4.5068, 4.5068, 3.6332 Å; angles 90.00, 90.00, 90.00 degrees
With the nearest neighbours (Å) after each atom.
Space group P4/mmm (No. 123)
Inequivalent atoms, fractional coordinates:
Li1 0.0000 0.0000 0.0000 [1 per cell]  2 H 1.82
Zn1 0.0000 0.5000 0.5000 [2 per cell]  2 H 2.25
In1 0.5000 0.5000 0.0000 [1 per cell]  8 Zn 2.89, 4 Li 3.19
H1 0.0000 0.0000 0.5000 [1 per cell]  2 Li 1.82